No. 1
The following is a DFT calculation (PBE-GGA) of a relaxed structure of AcPrHoCd.

Summary:
Relative energy among the computed polymorphs ... 0 meV per atom
ΔE_f ... -0.13 eV per atom
Symmetry ... P4mm (99)

abc: 3.816 3.816 9.056
angles: 90.00 90.00 90.00
Fractional positions:
Ac: 0.000 0.000 0.000
Pr: 0.500 0.500 0.702
Ho: 0.500 0.500 0.283
Cd: 0.000 0.000 0.476

No. 2
The following is a DFT calculation (PBE-GGA) of a relaxed structure of NaTe3Pd.

Summary:
Relative energy among the computed polymorphs ... 0 meV per atom
Symmetry ... C2/m (12)
Energy relative to the elements, uncorrected ... -0.3292 eV/atom

abc: 6.492 6.492 7.710
angles: 108.58 108.58 80.98
Fractional positions:
Na: 0.102 0.102 0.292
Na: 0.898 0.898 0.708
Te: 0.077 0.589 0.244
Te: 0.399 0.399 0.710
Te: 0.411 0.923 0.756
Te: 0.589 0.077 0.244
Te: 0.601 0.601 0.290
Te: 0.923 0.411 0.756
Pd: 0.315 0.315 0.007
Pd: 0.685 0.685 0.993

No. 3
The following is a DFT calculation (PBE-GGA) of a relaxed structure of ZnSeO3.

Summary:
Symmetry ... Pm-3m (221)
Energy relative to the elements, uncorrected ... -0.2347 eV/atom

abc: 3.861 3.861 3.861
angles: 90.00 90.00 90.00
Fractional positions:
Zn: 0.000 0.000 0.000
Se: 0.500 0.500 0.500
O: 0.000 0.500 0.500
O: 0.500 0.000 0.500
O: 0.500 0.500 0.000

No. 4
The following is a DFT calculation (PBE-GGA) of a relaxed structure of InFeRh.

Summary:
Relative energy among the computed polymorphs ... 193 meV per atom
ΔE_f ... 0.16 eV per atom
Symmetry ... F-43m (216)

abc: 4.301 4.301 4.301
angles: 60.00 60.00 60.00
Fractional positions:
In: 0.000 0.000 0.000
Fe: 0.500 0.500 0.500
Rh: 0.250 0.250 0.250